(1)
First-principles (PBE) data for a relaxed SrBeCuAs2 crystal, as listed in Alexandria via LeMat-Bulk.

Its volume is 19.39 Å³ per atom. The calculation puts the density of states at the Fermi level at 2.65 states/eV/cell. The energy relative to the elements comes out at -0.513 eV/atom.

Unit cell a=3.8971 b=3.8971 c=12.7694 alpha=90.00 beta=90.00 gamma=90.00
Sites, in units of the cell vectors:
1 Sr 0.0000 0.0000 0.0000
2 Sr 0.5000 0.5000 0.5000
3 Be 0.0000 0.5000 0.2500
4 Be 0.5000 0.0000 0.7500
5 Cu 0.0000 0.5000 0.7500
6 Cu 0.5000 0.0000 0.2500
7 As 0.0000 0.0000 0.3615
8 As 0.0000 0.0000 0.6385
9 As 0.5000 0.5000 0.1385
10 As 0.5000 0.5000 0.8615



(2)
First-principles (PBE) data for a relaxed Be2CuTeAs crystal, as listed in Alexandria via LeMat-Bulk.

Its volume is 23.19 Å³ per atom. The calculation puts the density of states at the Fermi level at 2.95 states/eV/cell. The uncorrected energy is -12.64 eV per cell.

Unit cell a=4.5806 b=4.5806 c=5.5253 alpha=90.00 beta=90.00 gamma=90.00
Sites, in units of the cell vectors:
1 Be 0.0000 0.5000 0.0000
2 Be 0.5000 0.0000 0.0000
3 Cu 0.0000 0.0000 0.5000
4 Te 0.5000 0.5000 0.0000
5 As 0.5000 0.5000 0.5000



(3)
First-principles (PBE) data for a relaxed BeTl2CuAs2 crystal, as listed in Alexandria via LeMat-Bulk.

Its volume is 22.57 Å³ per atom. The calculation puts the density of states at the Fermi level at 3.32 states/eV/cell. The energy relative to the elements comes out at -0.027 eV/atom.

Unit cell a=10.1816 b=10.1816 c=5.3444 alpha=105.10 beta=105.10 gamma=30.51
Sites, in units of the cell vectors:
1 Be 0.9997 0.0003 0.2500
2 Be 0.0003 0.9997 0.7500
3 Tl 0.0918 0.5669 0.8300
4 Tl 0.4331 0.9082 0.6700
5 Tl 0.5669 0.0918 0.3300
6 Tl 0.9082 0.4331 0.1700
7 Cu 0.5003 0.4997 0.2500
8 Cu 0.4997 0.5003 0.7500
9 As 0.1453 0.6971 0.4215
10 As 0.3029 0.8547 0.0785
11 As 0.6971 0.1453 0.9215
12 As 0.8547 0.3029 0.5785



(4)
First-principles (PBE) data for a relaxed BeTlCuAs2 crystal, as listed in Alexandria via LeMat-Bulk.

Its volume is 20.27 Å³ per atom. The calculation puts the density of states at the Fermi level at 3.07 states/eV/cell. The energy relative to the elements comes out at 0.084 eV/atom.

Unit cell a=9.6535 b=9.6535 c=4.3499 alpha=90.00 beta=90.00 gamma=150.00
Sites, in units of the cell vectors:
1 Be 0.2500 0.2500 0.0000
2 Be 0.7500 0.7500 0.0000
3 Tl 0.2500 0.7500 0.7422
4 Tl 0.7500 0.2500 0.2578
5 Cu 0.0000 0.0000 0.5000
6 Cu 0.5000 0.5000 0.5000
7 As 0.1011 0.8989 0.1543
8 As 0.3989 0.6011 0.1543
9 As 0.6011 0.3989 0.8457
10 As 0.8989 0.1011 0.8457



(5)
First-principles (PBE) data for a relaxed DyBe8As6 crystal, as listed in Alexandria via LeMat-Bulk.

Its volume is 15.61 Å³ per atom. The calculation puts the density of states at the Fermi level at 4.28 states/eV/cell. The energy relative to the elements comes out at -0.078 eV/atom.

Unit cell a=6.6589 b=6.6589 c=12.1946 alpha=90.00 beta=90.00 gamma=120.00
Sites, in units of the cell vectors:
1 Dy 0.0000 0.0000 0.0000
2 Dy 0.0000 0.0000 0.5000
3 Be 0.0000 0.3582 0.1624
4 Be 0.0000 0.3726 0.3414
5 Be 0.0000 0.6274 0.8414
6 Be 0.0000 0.6418 0.6624
7 Be 0.3333 0.6667 0.4347
8 Be 0.3333 0.6667 0.9347
9 Be 0.3582 0.0000 0.1624
10 Be 0.3582 0.3582 0.6624
11 Be 0.3726 0.0000 0.3414
12 Be 0.3726 0.3726 0.8414
13 Be 0.6274 0.0000 0.8414
14 Be 0.6274 0.6274 0.3414
15 Be 0.6418 0.0000 0.6624
16 Be 0.6418 0.6418 0.1624
17 Be 0.6667 0.3333 0.4347
18 Be 0.6667 0.3333 0.9347
19 As 0.0000 0.0000 0.2490
20 As 0.0000 0.0000 0.7490
21 As 0.0000 0.4184 0.5196
22 As 0.0000 0.5816 0.0196
23 As 0.3333 0.6667 0.2478
24 As 0.3333 0.6667 0.7478
25 As 0.4184 0.0000 0.5196
26 As 0.4184 0.4184 0.0196
27 As 0.5816 0.0000 0.0196
28 As 0.5816 0.5816 0.5196
29 As 0.6667 0.3333 0.2478
30 As 0.6667 0.3333 0.7478



(6)
First-principles (PBE) data for a relaxed Er2BeAs crystal, as listed in Alexandria via LeMat-Bulk.

Its volume is 28.99 Å³ per atom. The calculation puts the density of states at the Fermi level at 14.51 states/eV/cell. The energy relative to the elements comes out at 0.143 eV/atom.

Unit cell a=3.8239 b=3.8239 c=27.4701 alpha=90.00 beta=90.00 gamma=120.00
Sites, in units of the cell vectors:
1 Er 0.0000 0.0000 0.1050
2 Er 0.0000 0.0000 0.8950
3 Er 0.3333 0.6667 0.5617
4 Er 0.3333 0.6667 0.7716
5 Er 0.6667 0.3333 0.2284
6 Er 0.6667 0.3333 0.4383
7 Be 0.0000 0.0000 0.0000
8 Be 0.3333 0.6667 0.6667
9 Be 0.6667 0.3333 0.3333
10 As 0.0000 0.0000 0.5000
11 As 0.3333 0.6667 0.1667
12 As 0.6667 0.3333 0.8333



Which value of volume does entry 4 give?
20.27 Å³ per atom